Record 1
# ErZrSb

Crystalline ErZrSb at its relaxed geometry (GGA-PBE, OQMD).

Output
**VASP energy**: -6.28 eV/atom
**Magnetic moment**: 0.0007 μB/atom

Cell: 8.7686 8.7686 8.7686 Å, 152.22 152.22 39.70°
With the nearest neighbours (Å) after each atom.
Positions (direct):
Er 0.0000 0.5000 0.5000  4 Er 2.98, 4 Sb 3.15
Er 0.5000 0.0000 0.5000  4 Er 2.98, 4 Sb 3.15
Zr 0.1798 0.1798 0.0000  5 Sb 2.94-3.04
Zr 0.8202 0.8202 0.0000  5 Sb 2.94-3.04
Sb 0.3579 0.3579 0.0000  5 Zr 2.94-3.04, 4 Er 3.15
Sb 0.6421 0.6421 0.0000  5 Zr 2.94-3.04, 4 Er 3.15


Record 2
# CoCuHgW

Crystalline CoCuHgW at its relaxed geometry (GGA-PBE, OQMD).

Output
**Magnetic moment**: 0.0008 μB/atom
**Polymorph energy (0 for the lowest one)**: 187 meV per atom

Cell: 4.3777 4.3777 4.3777 Å, 60.00 60.00 60.00°
With the nearest neighbours (Å) after each atom.
Positions (direct):
Co 0.0000 0.0000 0.0000  4 W 2.68, 4 Cu 2.68
Cu 0.2500 0.2500 0.2500  4 Hg 2.68, 4 Co 2.68
Hg 0.5000 0.5000 0.5000  4 W 2.68, 4 Cu 2.68
W 0.7500 0.7500 0.7500  4 Hg 2.68, 4 Co 2.68


Record 3
# PrCoSi2Pd

Crystalline PrCoSi2Pd at its relaxed geometry (GGA-PBE, OQMD).

Output
**VASP energy**: -6.37 eV/atom
**Magnetic moment**: 0.2366 μB/atom

Cell: 5.7834 5.7834 5.7834 Å, 138.33 138.33 60.39°
With the nearest neighbours (Å) after each atom.
Positions (direct):
Pr 0.0000 0.0000 0.0000  8 Si 3.16, 4 Pd 3.24, 4 Co 3.24
Co 0.2500 0.7500 0.5000  4 Si 2.41
Si 0.3755 0.3755 0.0000  2 Co 2.41, 2 Pd 2.41, 1 Si 2.49
Si 0.6245 0.6245 0.0000  2 Co 2.41, 2 Pd 2.41, 1 Si 2.49
Pd 0.7500 0.2500 0.5000  4 Si 2.41


Record 4
# RbSiAgO3

Crystalline RbSiAgO3 at its relaxed geometry (GGA-PBE, OQMD).

Output
**VASP energy**: -5.57 eV/atom

Cell: 12.0699 2.8961 10.1462 Å, 90.00 90.00 90.00°
With the nearest neighbours (Å) after each atom.
Positions (direct):
Rb 0.2392 0.2500 0.1348  3 O 2.61-2.85, 2 Rb 2.90
Rb 0.2608 0.7500 0.6348  3 O 2.61-2.85, 2 Rb 2.90
Rb 0.7392 0.2500 0.3652  3 O 2.61-2.85, 2 Rb 2.90
Rb 0.7608 0.7500 0.8652  3 O 2.61-2.85, 2 Rb 2.90
Si 0.0229 0.2500 0.3815  4 O 1.75-1.82
Si 0.4771 0.7500 0.8815  4 O 1.75-1.82
Si 0.5229 0.2500 0.1185  4 O 1.75-1.82
Si 0.9771 0.7500 0.6185  4 O 1.75-1.82
Ag 0.0272 0.2500 0.8971  2 O 2.12
Ag 0.4728 0.7500 0.3971  2 O 2.12
Ag 0.5272 0.2500 0.6029  2 O 2.12
Ag 0.9728 0.7500 0.1029  2 O 2.12
O 0.0685 0.7500 0.7528  1 Si 1.75
O 0.0717 0.2500 0.5450  1 Si 1.76
O 0.1017 0.7500 0.3280  2 Si 1.82
O 0.3983 0.2500 0.8280  2 Si 1.82
O 0.4283 0.7500 0.0450  1 Si 1.76
O 0.4315 0.2500 0.2528  1 Si 1.75
O 0.5685 0.7500 0.7472  1 Si 1.75
O 0.5717 0.2500 0.9550  1 Si 1.76
O 0.6017 0.7500 0.1720  2 Si 1.82
O 0.8983 0.2500 0.6720  2 Si 1.82
O 0.9283 0.7500 0.4550  1 Si 1.76
O 0.9315 0.2500 0.2472  1 Si 1.75


Record 5
# NaDyTc

Crystalline NaDyTc at its relaxed geometry (GGA-PBE, OQMD).

Output
**VASP energy**: -4.09 eV/atom
**Magnetic moment**: 0.4698 μB/atom

Cell: 4.6760 4.6760 4.6760 Å, 60.00 60.00 60.00°
With the nearest neighbours (Å) after each atom.
Positions (direct):
Na 0.0000 0.0000 0.0000  4 Dy 2.86, 4 Tc 2.86
Dy 0.7500 0.7500 0.7500  4 Na 2.86
Tc 0.2500 0.2500 0.2500  4 Na 2.86


Record 6
# TbHoIn5

Crystalline TbHoIn5 at its relaxed geometry (GGA-PBE, OQMD).

Output
**VASP energy**: -3.58 eV/atom
**Magnetic moment**: 0.0027 μB/atom

Cell: 4.6835 4.6835 8.5196 Å, 90.00 90.00 90.00°
With the nearest neighbours (Å) after each atom.
Positions (direct):
Tb 0.0000 0.0000 0.0000  12 In 3.25-3.31
Ho 0.0000 0.0000 0.5000  8 In 3.08
In 0.0000 0.5000 0.2649  2 Ho 3.08, 2 Tb 3.25, 6 In 3.25-3.31
In 0.0000 0.5000 0.7351  2 Ho 3.08, 2 Tb 3.25, 6 In 3.25-3.31
In 0.5000 0.0000 0.2649  2 Ho 3.08, 2 Tb 3.25, 6 In 3.25-3.31
In 0.5000 0.0000 0.7351  2 Ho 3.08, 2 Tb 3.25, 6 In 3.25-3.31
In 0.5000 0.5000 0.0000  8 In 3.25, 4 Tb 3.31